# Si3HOs, optimized geometry, DFT GGA-PBE
# * polymorph energy (0 for the lowest one): 156 meV/atom
# * total DFT energy (no corrections): -27.3 eV per cell
data_Si3HOs
_cell_length_a 4.600
_cell_length_b 4.600
_cell_length_c 4.600
_cell_angle_alpha 90.00
_cell_angle_beta 90.00
_cell_angle_gamma 90.00
_symmetry_space_group_name_H-M 'P m -3 m'
_symmetry_Int_Tables_number 221
_symmetry_space_group_name_Hall '-P 4 2 3'
loop_
_atom_site_label
_atom_site_type_symbol
_atom_site_fract_x
_atom_site_fract_y
_atom_site_fract_z
Si1 Si 0.000 0.000 0.500
H1 H 0.500 0.500 0.500
Os1 Os 0.000 0.000 0.000